18
Lattice="-1.715 -0.203 5.074 3.285 -4.128 0.945 5.481 4.829 2.045" Properties=species:S:1:pos:R:3 comment="SrSmMn4O12, optimized geometry, DFT PBE with a Hubbard U" dos_ef_per_ev_cell=4.7 e_tot_ev_per_fu=-122.0 spacegroup=P4/mmm m_tot_mub_per_cell=15.5 pbc="T T T"
Sr 2.740 2.415 1.022
Sm 0.785 -2.165 3.009
Mn 5.742 1.549 2.002
Mn 3.023 -0.847 0.988
Mn 3.243 3.512 4.067
Mn 0.523 1.115 3.052
O 4.587 2.572 3.109
O 1.702 0.030 2.033
O 5.349 0.469 6.031
O 2.464 -2.073 4.955
O 3.754 2.474 5.572
O 0.869 -0.069 4.496
O 6.182 0.568 3.568
O 3.297 -1.975 2.491
O 4.383 0.351 1.495
O 1.642 -2.064 0.473
O 1.883 2.313 3.559
O -0.857 -0.101 2.537